Compound: Cd3Ni5Sn12
Source: Alexandria
Functional: PBE
Structure: relaxed

Lattice parameters (Å, degrees): 15.932 15.932 15.932 90.00 90.00 90.00
Space group Ia-3d (No. 230)
Inequivalent atoms, fractional coordinates:
Cd (0.000, 0.250, 0.125) x24
Ni (0.000, 0.000, 0.000) x16
Ni (0.000, 0.250, 0.375) x24
Sn (0.041, 0.066, 0.638) x96

Properties
Uncorrected energy: -3.904 eV/atom